Record 1
# Ag3AuBr4

Crystalline Ag3AuBr4 at its relaxed geometry (PBE, Alexandria via LeMat-Bulk).

The value obtained for the uncorrected formation energy is -0.2168 eV/atom.

It has space group I-42m (No. 121), with a = 6.315 Å, b = 6.315 Å, c = 12.520 Å, α = 90.00°, β = 90.00° and γ = 90.00°. Symmetry generates all atoms from Ag at (0.000, 0.000, 0.000), Ag at (0.000, 0.500, 0.250), Au at (0.000, 0.000, 0.500) and Br at (0.248, 0.248, 0.376).


Record 2
# Sr2CdAsP

Crystalline Sr2CdAsP at its relaxed geometry (PBE, Alexandria via LeMat-Bulk).

The value obtained for the formation energy is -0.858 eV/atom.

It has space group P2_1/m (No. 11), with a = 7.911 Å, b = 4.331 Å, c = 9.213 Å, α = 90.00°, β = 105.36° and γ = 90.00°. Symmetry generates all atoms from Sr at (0.165, 0.250, 0.395), Sr at (0.203, 0.250, 0.949), Cd at (0.493, 0.250, 0.726), As at (0.276, 0.750, 0.684) and P at (0.182, 0.750, 0.173).


Record 3
# Mg3SiSe

Crystalline Mg3SiSe at its relaxed geometry (PBE, Alexandria via LeMat-Bulk).

The value obtained for the uncorrected formation energy is 0.1366 eV/atom. For the energy above the lowest structure with this stoichiometry, the calculation gives 31.80 kJ/mol of atoms.

It has space group Pm-3m (No. 221), with a = 4.931 Å, b = 4.931 Å, c = 4.931 Å, α = 90.00°, β = 90.00° and γ = 90.00°. Symmetry generates all atoms from Mg at (0.000, 0.000, 0.500), Si at (0.500, 0.500, 0.500) and Se at (0.000, 0.000, 0.000).